This record from Alexandria describes a geometry-optimized Be2AlZn2 structure. The functional is PBE-GGA.

Lattice parameters (Å, degrees): 3.394 3.394 6.259 74.27 74.27 90.00
Fractional positions:
1 Be 0.750 0.250 0.500
2 Be 0.250 0.750 0.500
3 Zn 0.391 0.391 0.218
4 Zn 0.609 0.609 0.782
5 Al 0.000 0.000 0.000

**Symmetry**: I4/mmm
**Formation energy**: 0.293 eV/atom
**Calculated volume**: 13.32 A^3/atom